one.
First-principles (PBE) data for a geometry-optimized AcPrAlPt structure, as listed in the Alexandria database.

POSCAR file:
```
AcPrAlPt
1.0
2.257 1.303 6.807
-2.257 1.303 6.807
0.000 -2.606 6.807
Ac Pr Al Pt
1 1 1 1
direct
0.000 0.000 0.000
0.818 0.818 0.818
0.230 0.230 0.230
0.574 0.574 0.574
```

## Properties
SG: No. 160
Total moment (μB per formula unit): 0.5

---

two.
First-principles (PBE) data for a geometry-optimized AcPrAlPt structure, as listed in the Alexandria database.

POSCAR file:
```
AcPrAlPt
1.0
0.000 3.799 3.799
3.799 0.000 3.799
3.799 3.799 0.000
Ac Pr Al Pt
1 1 1 1
direct
0.000 0.000 0.000
0.500 0.500 0.500
0.250 0.250 0.250
0.750 0.750 0.750
```

## Properties
SG: No. 216
Total moment (μB per formula unit): 0.0

---

Which of them is the most stable, and which is the least stable? one and two, in that order.

---

one.
First-principles (PBE) data for a geometry-optimized AcPrAlSi structure, as listed in the Alexandria database.

POSCAR file:
```
AcPrAlSi
1.0
4.172 0.000 0.000
0.000 2.309 5.908
0.000 -2.309 5.908
Ac Pr Al Si
1 1 1 1
direct
0.000 0.000 0.000
0.500 0.716 0.716
0.000 0.288 0.288
0.500 0.418 0.418
```

## Properties
SG: No. 38
Total moment (μB per formula unit): 0.0

---

two.
First-principles (PBE) data for a geometry-optimized AcPrAlSi structure, as listed in the Alexandria database.

POSCAR file:
```
AcPrAlSi
1.0
0.000 3.813 3.813
3.813 0.000 3.813
3.813 3.813 0.000
Ac Pr Al Si
1 1 1 1
direct
0.000 0.000 0.000
0.500 0.500 0.500
0.750 0.750 0.750
0.250 0.250 0.250
```

## Properties
SG: No. 216
Total moment (μB per formula unit): 0.0

---

Which of them is the most stable, and which is the least stable? one and two, in that order.

---

one.
First-principles (PBE) data for a geometry-optimized AcAlPt3 structure, as listed in the Alexandria database.

POSCAR file:
```
AcAlPt3
1.0
2.989 -3.788 0.000
2.989 3.788 0.000
0.000 0.000 4.814
Ac Al Pt
1 1 3
direct
0.000 0.000 0.000
0.500 0.500 0.500
0.000 0.500 0.500
0.500 0.000 0.500
0.500 0.500 0.000
```

## Properties
SG: No. 65
Total moment (μB per formula unit): 0.0

---

two.
First-principles (PBE) data for a geometry-optimized AcAlPt3 structure, as listed in the Alexandria database.

POSCAR file:
```
AcAlPt3
1.0
6.295 0.000 0.000
-3.148 5.452 0.000
0.000 0.000 12.281
Ac Al Pt
4 4 12
direct
0.000 0.000 0.000
0.000 0.000 0.500
0.333 0.667 0.250
0.667 0.333 0.750
0.333 0.667 0.641
0.333 0.667 0.859
0.667 0.333 0.141
0.667 0.333 0.359
0.000 0.500 0.000
0.000 0.500 0.500
0.142 0.284 0.750
0.142 0.858 0.750
0.284 0.142 0.250
0.500 0.000 0.000
0.500 0.000 0.500
0.500 0.500 0.000
0.500 0.500 0.500
0.716 0.858 0.750
0.858 0.142 0.250
0.858 0.716 0.250
```

## Properties
SG: No. 194
Total moment (μB per formula unit): 0.0

---

Which of them is the most stable, and which is the least stable? two and one, in that order.

---

one.
First-principles (PBE) data for a geometry-optimized AcPu2Al structure, as listed in the Alexandria database.

POSCAR file:
```
AcPu2Al
1.0
4.695 0.000 0.000
0.000 4.695 0.000
0.000 0.000 5.111
Ac Pu Al
1 2 1
direct
0.000 0.000 0.000
0.000 0.500 0.500
0.500 0.000 0.500
0.500 0.500 0.000
```

## Properties
SG: No. 123
Total moment (μB per formula unit): 12.1

---

two.
First-principles (PBE) data for a geometry-optimized AcPu2Al structure, as listed in the Alexandria database.

POSCAR file:
```
AcPu2Al
1.0
3.806 0.000 0.000
0.000 3.806 0.000
0.000 0.000 7.944
Ac Pu Al
1 2 1
direct
0.000 0.000 0.000
0.500 0.500 0.308
0.500 0.500 0.692
0.000 0.000 0.500
```

## Properties
SG: No. 123
Total moment (μB per formula unit): 11.8

---

Which of them is the most stable, and which is the least stable? one and two, in that order.

---

one.
First-principles (PBE) data for a geometry-optimized Ac2PuAl structure, as listed in the Alexandria database.

POSCAR file:
```
Ac2PuAl
1.0
3.909 0.000 0.000
0.000 3.909 0.000
0.000 0.000 8.893
Ac Pu Al
2 1 1
direct
0.000 0.000 0.219
0.000 0.000 0.781
0.500 0.500 0.500
0.500 0.500 0.000
```

## Properties
SG: No. 123
Total moment (μB per formula unit): 7.1

---

two.
First-principles (PBE) data for a geometry-optimized Ac2PuAl structure, as listed in the Alexandria database.

POSCAR file:
```
Ac2PuAl
1.0
1.858 1.073 12.121
-1.858 1.073 12.121
0.000 -2.145 12.121
Ac Pu Al
2 1 1
direct
0.098 0.098 0.098
0.902 0.902 0.902
0.000 0.000 0.000
0.500 0.500 0.500
```

## Properties
SG: No. 166
Total moment (μB per formula unit): 6.6

---

Which of them is the most stable, and which is the least stable? one and two, in that order.

---

one.
First-principles (PBE) data for a geometry-optimized AcAlRu structure, as listed in the Alexandria database.

POSCAR file:
```
AcAlRu
1.0
5.611 -2.352 0.000
5.611 2.352 0.000
-1.113 0.000 5.488
Ac Al Ru
2 2 2
direct
0.123 0.123 0.314
0.877 0.877 0.686
0.394 0.394 0.132
0.606 0.606 0.868
0.186 0.186 0.840
0.814 0.814 0.160
```

## Properties
SG: No. 12
Total moment (μB per formula unit): 0.0

---

two.
First-principles (PBE) data for a geometry-optimized AcAlRu structure, as listed in the Alexandria database.

POSCAR file:
```
AcAlRu
1.0
4.577 0.000 0.000
0.000 4.577 0.000
-0.032 0.000 7.208
Ac Al Ru
2 2 2
direct
0.249 0.250 0.201
0.751 0.750 0.799
0.251 0.250 0.656
0.749 0.750 0.344
0.250 0.750 0.500
0.750 0.250 0.500
```

## Properties
SG: No. 11
Total moment (μB per formula unit): 0.0

---

three.
First-principles (PBE) data for a geometry-optimized AcAlRu structure, as listed in the Alexandria database.

POSCAR file:
```
AcAlRu
1.0
4.316 0.000 0.000
-2.158 3.738 0.000
0.000 0.000 4.541
Ac Al Ru
1 1 1
direct
0.000 0.000 0.000
0.667 0.333 0.500
0.333 0.667 0.500
```

## Properties
SG: No. 187
Total moment (μB per formula unit): 0.0

---

Which of them is the most stable, and which is the least stable? two and three, in that order.

---

one.
First-principles (PBE) data for a geometry-optimized Ac2AlS structure, as listed in the Alexandria database.

POSCAR file:
```
Ac2AlS
1.0
2.167 1.251 8.021
-2.167 1.251 8.021
0.000 -2.502 8.021
Ac Al S
2 1 1
direct
0.243 0.243 0.243
0.757 0.757 0.757
0.000 0.000 0.000
0.500 0.500 0.500
```

## Properties
SG: No. 166
Total moment (μB per formula unit): 0.0

---

two.
First-principles (PBE) data for a geometry-optimized Ac2AlS structure, as listed in the Alexandria database.

POSCAR file:
```
Ac2AlS
1.0
5.617 0.000 0.000
0.000 5.617 0.000
0.000 0.000 3.651
Ac Al S
2 1 1
direct
0.000 0.500 0.000
0.500 0.000 0.000
0.000 0.000 0.500
0.500 0.500 0.500
```

## Properties
SG: No. 123
Total moment (μB per formula unit): 0.0

---

Which of them is the most stable, and which is the least stable? one and two, in that order.

---

one.
First-principles (PBE) data for a geometry-optimized AcSc2Al structure, as listed in the Alexandria database.

POSCAR file:
```
AcSc2Al
1.0
4.753 0.000 0.000
0.000 4.753 0.000
0.000 0.000 4.749
Ac Sc Al
1 2 1
direct
0.000 0.000 0.000
0.000 0.500 0.500
0.500 0.000 0.500
0.500 0.500 0.000
```

## Properties
SG: No. 123
Total moment (μB per formula unit): 0.8

---

two.
First-principles (PBE) data for a geometry-optimized AcSc2Al structure, as listed in the Alexandria database.

POSCAR file:
```
AcSc2Al
1.0
3.497 0.000 0.000
0.000 3.497 0.000
0.000 0.000 8.601
Ac Sc Al
1 2 1
direct
0.000 0.000 0.000
0.500 0.500 0.306
0.500 0.500 0.694
0.000 0.000 0.500
```

## Properties
SG: No. 123
Total moment (μB per formula unit): 0.0

---

Which of them is the most stable, and which is the least stable? two and one, in that order.